Entry 1:
VASP calculation (GGA-PBEsol) on CsYHg2 after structural relaxation.

Cell lengths 7.887, 7.887, 7.887 Å; angles 90.00, 90.00, 90.00 degrees
Space group Fm-3m (No. 225)
One atom of each set of equivalent atoms:
Cs 0.000 0.000 0.000 x4
Y 0.000 0.000 0.500 x4
Hg 0.250 0.250 0.250 x8

Results
E_form, kJ per mole of atoms: 0.8

Entry 2:
VASP calculation (GGA-PBEsol) on CsZn3Hg after structural relaxation.

Cell lengths 6.524, 6.524, 6.524 Å; angles 90.00, 90.00, 90.00 degrees
Space group Pm-3m (No. 221)
One atom of each set of equivalent atoms:
Cs 0.000 0.000 0.000 x1
Zn 0.000 0.000 0.500 x3
Hg 0.500 0.500 0.500 x1

Results
E_form, kJ per mole of atoms: 92.5

Entry 3:
VASP calculation (GGA-PBEsol) on CsZr3Hg after structural relaxation.

Cell lengths 5.164, 5.164, 5.164 Å; angles 90.00, 90.00, 90.00 degrees
Space group Pm-3m (No. 221)
One atom of each set of equivalent atoms:
Cs 0.000 0.000 0.000 x1
Zr 0.000 0.000 0.500 x3
Hg 0.500 0.500 0.500 x1

Results
E_form, kJ per mole of atoms: 175.7

Entry 4:
VASP calculation (GGA-PBEsol) on CsK2HoP2O8 after structural relaxation.

Cell lengths 5.6453, 5.6453, 7.8749 Å; angles 90.00, 90.00, 120.00 degrees
Space group P-3m1 (No. 164)
One atom of each set of equivalent atoms:
Cs 0.0000 0.0000 0.0000 x1
K 0.3333 0.6667 0.7409 x2
Ho 0.0000 0.0000 0.5000 x1
P 0.3333 0.6667 0.2663 x2
O 0.1842 0.3684 0.3371 x6
O 0.3333 0.6667 0.0735 x2

Results
Total energy, eV per atom: -7.0373

Entry 5:
VASP calculation (GGA-PBEsol) on CsHoMgTe3 after structural relaxation.

Cell lengths 4.457, 16.776, 11.624 Å; angles 90.00, 90.00, 90.00 degrees
Space group Cmcm (No. 63)
One atom of each set of equivalent atoms:
Cs 0.000 0.248 0.250 x4
Ho 0.000 0.500 0.000 x4
Mg 0.000 0.036 0.750 x4
Te 0.000 0.122 0.548 x8
Te 0.000 0.436 0.750 x4

Results
Total energy, eV per atom: -4.2329

Entry 6:
VASP calculation (GGA-PBEsol) on CsHoMo2O8 after structural relaxation.

Cell lengths 10.626, 10.422, 7.618 Å; angles 90.00, 130.61, 90.00 degrees
Space group C2/c (No. 15)
One atom of each set of equivalent atoms:
Cs 0.000 0.195 0.250 x4
Ho 0.000 0.230 0.750 x4
Mo 0.194 0.498 0.733 x8
O 0.023 0.392 0.968 x8
O 0.133 0.080 0.703 x8
O 0.186 0.430 0.432 x8
O 0.226 0.158 0.126 x8

Results
Total energy, eV per atom: -8.3963

Entry 7:
VASP calculation (GGA-PBEsol) on CsHoMo2O8 after structural relaxation.

Cell lengths 5.013, 9.460, 7.881 Å; angles 90.00, 90.00, 90.00 degrees
Space group Pccm (No. 49)
One atom of each set of equivalent atoms:
Cs 0.000 0.000 0.250 x2
Ho 0.000 0.500 0.250 x2
Mo 0.477 0.307 0.000 x4
O 0.250 0.438 0.500 x4
O 0.259 0.313 0.178 x8
O 0.384 0.142 0.500 x4

Results
Total energy, eV per atom: -8.4233

Entry 8:
VASP calculation (GGA-PBEsol) on CsHoO2 after structural relaxation.

Cell lengths 3.4856, 3.4856, 13.4732 Å; angles 90.00, 90.00, 120.00 degrees
Space group P6_3/mmc (No. 194)
One atom of each set of equivalent atoms:
Cs 0.3333 0.6667 0.2500 x2
Ho 0.0000 0.0000 0.0000 x2
O 0.3333 0.6667 0.5826 x4

Results
Total energy, eV per atom: -6.8184